First-principles (SCAN) data for a crystal of LaFeIr2I relaxed with PBEsol, as listed in Alexandria.

Properties
* formation energy (no corrections): 0.81 eV per atom
* N(E_F): 0.38 states/eV per atom
* DFT total energy: -47.22 eV/atom
* space group: P4/mmm, No. 123

Cell lengths 4.561, 4.935, 4.935 Å; angles 90.00, 90.00, 90.00 degrees
Atoms (fractional coordinates):
I 0.000 0.000 0.000
Ir 0.000 0.000 0.500
Ir 0.000 0.500 0.000
Fe 0.500 0.000 0.000
La 0.500 0.500 0.500

***

First-principles (SCAN) data for a crystal of Fe2IrPtI relaxed with PBEsol, as listed in Alexandria.

Properties
* formation energy (no corrections): 1.83 eV per atom
* N(E_F): 0.72 states/eV per atom
* DFT total energy: -41.03 eV/atom
* space group: P4/mmm, No. 123

Cell lengths 4.498, 4.498, 4.779 Å; angles 90.00, 90.00, 90.00 degrees
Atoms (fractional coordinates):
I 0.000 0.000 0.000
Ir 0.000 0.000 0.500
Fe 0.000 0.500 0.000
Fe 0.500 0.000 0.000
Pt 0.500 0.500 0.500

***

First-principles (SCAN) data for a crystal of FeTeIrI2 relaxed with PBEsol, as listed in Alexandria.

Properties
* formation energy (no corrections): 0.85 eV per atom
* N(E_F): 0.87 states/eV per atom
* DFT total energy: -39.14 eV/atom
* space group: P4/mmm, No. 123

Cell lengths 5.026, 5.424, 5.424 Å; angles 90.00, 90.00, 90.00 degrees
Atoms (fractional coordinates):
I 0.000 0.000 0.500
I 0.000 0.500 0.000
Ir 0.000 0.000 0.000
Te 0.500 0.000 0.000
Fe 0.500 0.500 0.500